Record 1
Entry from the Alexandria database: a crystal of KGe2Ir2 relaxed with PBEsol (SCAN).

Lattice parameters (Å, degrees): 4.154 4.154 6.259 109.38 109.38 90.00
Fractional coordinates of all 5 atoms:
Ge: 0.367 0.367 0.734
Ge: 0.633 0.633 0.266
K: 0.000 0.000 0.000
Ir: 0.750 0.250 0.500
Ir: 0.250 0.750 0.500

- energy above the most stable polymorph in this dataset (kcal/mol of atoms) = 0.00
- magnetic moment (μB/f.u.) = 0.00
- E (Ry/atom) = -2.80374

=====

Record 2
Entry from the Alexandria database: a crystal of K3GeIr relaxed with PBEsol (SCAN).

Lattice parameters (Å, degrees): 6.223 6.223 6.223 90.00 90.00 90.00
Fractional coordinates of all 5 atoms:
K: 0.000 0.500 0.000
K: 0.000 0.000 0.500
K: 0.500 0.000 0.000
Ge: 0.000 0.000 0.000
Ir: 0.500 0.500 0.500

- magnetic moment (μB/f.u.) = 4.00
- E (Ry/atom) = -1.61003

=====

Record 3
Entry from the Alexandria database: a crystal of KTi2GeIr relaxed with PBEsol (SCAN).

Lattice parameters (Å, degrees): 4.628 4.855 4.855 90.00 90.00 90.00
Fractional coordinates of all 5 atoms:
K: 0.500 0.500 0.500
Ir: 0.500 0.000 0.000
Ti: 0.000 0.500 0.000
Ti: 0.000 0.000 0.500
Ge: 0.000 0.000 0.000

- magnetic moment (μB/f.u.) = 0.00
- E (Ry/atom) = -1.87074

=====

Record 4
Entry from the Alexandria database: a crystal of LaGe2Ir2 relaxed with PBEsol (SCAN).

Lattice parameters (Å, degrees): 4.257 4.257 10.128 90.00 90.00 90.00
Fractional coordinates of all 10 atoms:
Ir: 0.500 0.000 0.372
Ir: 0.000 0.000 0.000
Ir: 0.500 0.500 0.000
Ir: 0.000 0.500 0.628
Ge: 0.000 0.000 0.500
Ge: 0.000 0.500 0.870
Ge: 0.500 0.000 0.130
Ge: 0.500 0.500 0.500
La: 0.500 0.000 0.745
La: 0.000 0.500 0.255

- magnetic moment (μB/f.u.) = 0.00
- E (Ry/atom) = -3.35734

=====

Record 5
Entry from the Alexandria database: a crystal of LaGeIr3 relaxed with PBEsol (SCAN).

Lattice parameters (Å, degrees): 4.880 4.880 4.880 90.00 90.00 90.00
Fractional coordinates of all 5 atoms:
Ir: 0.000 0.000 0.500
Ir: 0.500 0.000 0.000
Ir: 0.000 0.500 0.000
Ge: 0.500 0.500 0.500
La: 0.000 0.000 0.000

- magnetic moment (μB/f.u.) = 0.01
- E (Ry/atom) = -3.88916

=====

Record 6
Entry from the Alexandria database: a crystal of La2NbGeIr relaxed with PBEsol (SCAN).

Lattice parameters (Å, degrees): 4.706 5.431 5.431 90.00 90.00 90.00
Fractional coordinates of all 5 atoms:
Ir: 0.500 0.000 0.000
Ge: 0.500 0.500 0.500
La: 0.000 0.000 0.500
La: 0.000 0.500 0.000
Nb: 0.000 0.000 0.000

- magnetic moment (μB/f.u.) = 0.00
- E (Ry/atom) = -3.05053

=====

Record 7
Entry from the Alexandria database: a crystal of LaReGe2Ir relaxed with PBEsol (SCAN).

Lattice parameters (Å, degrees): 4.701 4.701 4.930 90.00 90.00 90.00
Fractional coordinates of all 5 atoms:
Re: 0.000 0.000 0.000
Ir: 0.000 0.000 0.500
La: 0.500 0.500 0.500
Ge: 0.000 0.500 0.000
Ge: 0.500 0.000 0.000

- magnetic moment (μB/f.u.) = 0.00
- E (Ry/atom) = -3.28869

=====

Record 8
Entry from the Alexandria database: a crystal of LaTmGe4Ir2 relaxed with PBEsol (SCAN).

Lattice parameters (Å, degrees): 4.315 8.813 9.389 117.99 103.29 90.00
Fractional coordinates of all 16 atoms:
Ge: 0.201 0.352 0.401
Ge: 0.421 0.921 0.842
Ge: 0.799 0.648 0.599
Ge: 0.201 0.049 0.401
Ge: 0.579 0.079 0.158
Ge: 0.420 0.420 0.840
Ge: 0.580 0.580 0.160
Ge: 0.799 0.951 0.599
Tm: 0.793 0.293 0.586
Tm: 0.207 0.707 0.414
Ir: 0.351 0.603 0.702
Ir: 0.649 0.397 0.298
Ir: 0.351 0.099 0.702
Ir: 0.649 0.901 0.298
La: 0.000 0.261 0.000
La: 0.000 0.739 0.000

- magnetic moment (μB/f.u.) = 0.00
- E (Ry/atom) = -2.95314

=====

Number 1: V 95.4 Å³/f.u., energy relative to the elements -0.406 eV/atom. Number 2: V 241.0 Å³/f.u., energy relative to the elements 1.129 eV/atom. Number 3: V 109.1 Å³/f.u., energy relative to the elements 0.662 eV/atom. Number 4: V 91.8 Å³/f.u., energy relative to the elements -0.983 eV/atom. Number 5: V 116.2 Å³/f.u., energy relative to the elements 2.183 eV/atom. Number 6: V 138.8 Å³/f.u., energy relative to the elements 0.401 eV/atom. Number 7: V 109.0 Å³/f.u., energy relative to the elements -0.050 eV/atom. Number 8: V 152.2 Å³/f.u., energy relative to the elements -0.994 eV/atom.